# 1
VASP calculation (PBE) on a geometry-optimized Th2BiPd9 structure.

Cell: 4.1997 4.1997 12.5565 Å, 90.00 90.00 90.00°
Atoms (fractional coordinates):
Th  0.0000  0.0000  0.1705
Th  0.0000  0.0000  0.8295
Bi  0.0000  0.0000  0.5000
Pd  0.0000  0.5000  0.0000
Pd  0.0000  0.5000  0.3313
Pd  0.0000  0.5000  0.6687
Pd  0.5000  0.0000  0.0000
Pd  0.5000  0.0000  0.3313
Pd  0.5000  0.0000  0.6687
Pd  0.5000  0.5000  0.1656
Pd  0.5000  0.5000  0.5000
Pd  0.5000  0.5000  0.8344

Electronic total energy ... -74.0 eV per cell
Calculated formation energy ... -0.7121 eV per atom
Total magnetic moment ... 0.0 μB per cell

=====

# 2
VASP calculation (PBE) on a geometry-optimized PmHo2H structure.

Cell: 3.6012 3.6012 25.5988 Å, 90.00 90.00 120.00°
Atoms (fractional coordinates):
Pm  0.0000  0.0000  0.0000
Pm  0.3333  0.6667  0.6667
Pm  0.6667  0.3333  0.3333
Ho  0.0000  0.0000  0.2199
Ho  0.0000  0.0000  0.7801
Ho  0.3333  0.6667  0.4467
Ho  0.3333  0.6667  0.8866
Ho  0.6667  0.3333  0.1134
Ho  0.6667  0.3333  0.5533
H  0.0000  0.0000  0.5000
H  0.3333  0.6667  0.1667
H  0.6667  0.3333  0.8333

Electronic total energy ... -54.1 eV per cell
Total magnetic moment ... 0.0 μB per cell
E above lowest polymorph ... 0 meV per atom

=====

# 3
VASP calculation (PBE) on a geometry-optimized KCr2As structure.

Cell: 3.3663 4.9645 5.3539 Å, 90.00 90.00 90.00°
Atoms (fractional coordinates):
K  0.0000  0.0000  0.0000
Cr  0.0000  0.5000  0.5000
Cr  0.5000  0.5000  0.0000
As  0.5000  0.0000  0.5000

Electronic total energy ... -21.1 eV per cell
Calculated formation energy ... 0.9612 eV per atom
Total magnetic moment ... 9.2 μB per cell